No. 1
RbCoNi2 | GGA-PBE | optimized geometry

Summary:
For the total DFT energy (no corrections), the calculation gives -64.6 eV per cell. For the magnetic moment, the calculation gives 3.23 μB/f.u. The value obtained for the energy above the lowest structure with this stoichiometry is 0.0 kJ/mol of atoms. The value obtained for the energy of formation from the pure elements is 0.870 eV per atom.

Cell and atoms, written as CIF:
```
data_RbCoNi2
_chemical_formula_sum 'Rb4 Co4 Ni8'
_cell_length_a 4.997
_cell_length_b 4.997
_cell_length_c 15.234
_cell_angle_alpha 90.00
_cell_angle_beta 90.00
_cell_angle_gamma 90.00
_space_group_name_H-M_alt 'I 41/a m d'
_space_group_IT_number 141
loop_
_space_group_symop_operation_xyz
'x,y,z'
'-x,-y,-z'
'-y+1/4,x+3/4,z+1/4'
'y+1/4,-x+3/4,-z+1/4'
'-x+1/2,-y,z+1/2'
'x+1/2,y,-z+1/2'
'y+1/4,-x+1/4,z+3/4'
'-y+1/4,x+1/4,-z+3/4'
'x,-y,-z'
'-x,y,z'
'-y+1/4,-x+1/4,-z+3/4'
'y+1/4,x+1/4,z+3/4'
'-x+1/2,y,-z+1/2'
'x+1/2,-y,z+1/2'
'y+1/4,x+3/4,-z+1/4'
'-y+1/4,-x+3/4,z+1/4'
'x+1/2,y+1/2,z+1/2'
'-x+1/2,-y+1/2,-z+1/2'
'-y+3/4,x+1/4,z+3/4'
'y+3/4,-x+1/4,-z+3/4'
'-x,-y+1/2,z'
'x,y+1/2,-z'
'y+3/4,-x+3/4,z+1/4'
'-y+3/4,x+3/4,-z+1/4'
'x+1/2,-y+1/2,-z+1/2'
'-x+1/2,y+1/2,z+1/2'
'-y+3/4,-x+3/4,-z+1/4'
'y+3/4,x+3/4,z+1/4'
'-x,y+1/2,-z'
'x,-y+1/2,z'
'y+3/4,x+1/4,-z+3/4'
'-y+3/4,-x+1/4,z+3/4'
loop_
_atom_site_label
_atom_site_fract_x
_atom_site_fract_y
_atom_site_fract_z
_atom_site_occupancy
Rb1 0.000 0.250 0.375 1
Co1 0.000 0.250 0.875 1
Ni1 0.000 0.000 0.000 1
```



No. 2
RbCo2Ni | GGA-PBE | optimized geometry

Summary:
For the total DFT energy (no corrections), the calculation gives -59.4 eV per cell. For the magnetic moment, the calculation gives 3.38 μB/f.u. The value obtained for the energy above the lowest structure with this stoichiometry is 50.2 kJ/mol of atoms. The value obtained for the energy of formation from the pure elements is 1.530 eV per atom.

Cell and atoms, written as CIF:
```
data_RbCo2Ni
_chemical_formula_sum 'Rb4 Co8 Ni4'
_cell_length_a 6.383
_cell_length_b 6.383
_cell_length_c 6.383
_cell_angle_alpha 90.00
_cell_angle_beta 90.00
_cell_angle_gamma 90.00
_space_group_name_H-M_alt 'F m -3 m'
_space_group_IT_number 225
_space_group_name_Hall '-F 4 2 3'
loop_
_atom_site_label
_atom_site_fract_x
_atom_site_fract_y
_atom_site_fract_z
_atom_site_occupancy
Rb1 0.000 0.000 0.000 1
Co1 0.250 0.250 0.250 1
Ni1 0.000 0.000 0.500 1
```



No. 3
RbCoNiRh2 | GGA-PBE | optimized geometry

Summary:
For the total DFT energy (no corrections), the calculation gives -20.7 eV per cell. For the magnetic moment, the calculation gives 4.56 μB/f.u. The value obtained for the energy of formation from the pure elements is 1.579 eV per atom.

Cell and atoms, written as CIF:
```
data_RbCoNiRh2
_chemical_formula_sum 'Rb1 Co1 Ni1 Rh2'
_cell_length_a 4.596
_cell_length_b 4.596
_cell_length_c 5.373
_cell_angle_alpha 90.00
_cell_angle_beta 90.00
_cell_angle_gamma 90.00
_space_group_name_H-M_alt 'P 4/m m m'
_space_group_IT_number 123
_space_group_name_Hall '-P 4 2'
loop_
_atom_site_label
_atom_site_fract_x
_atom_site_fract_y
_atom_site_fract_z
_atom_site_occupancy
Rb1 0.000 0.000 0.000 1
Co1 0.500 0.500 0.000 1
Ni1 0.000 0.000 0.500 1
Rh1 0.000 0.500 0.500 1
```



No. 4
RbCoNiS3 | GGA-PBE | optimized geometry

Summary:
For the total DFT energy (no corrections), the calculation gives -115.9 eV per cell. For the magnetic moment, the calculation gives 0.14 μB/f.u. The raw formation energy is -0.457 eV per atom.

Cell and atoms, written as CIF:
```
data_RbCoNiS3
_chemical_formula_sum 'Rb4 Co4 Ni4 S12'
_cell_length_a 6.228
_cell_length_b 11.717
_cell_length_c 6.214
_cell_angle_alpha 90.00
_cell_angle_beta 90.00
_cell_angle_gamma 90.00
_space_group_name_H-M_alt 'C m c m'
_space_group_IT_number 63
_space_group_name_Hall '-C 2c 2'
loop_
_atom_site_label
_atom_site_fract_x
_atom_site_fract_y
_atom_site_fract_z
_atom_site_occupancy
Rb1 0.000 0.247 0.250 1
Co1 0.000 0.439 0.750 1
Ni1 0.000 0.070 0.750 1
S1 0.000 0.256 0.750 1
S2 0.243 0.500 0.000 1
```